## P
Below is a relaxed Mg3Ag3Sn crystal, with properties calculated at the PBE level.

Cell lengths 8.0963, 8.0963, 4.9171 Å; angles 90.00, 90.00, 120.00 degrees
Space group P6_3/m (No. 176)
Symmetry-distinct sites (fractional):
Mg 0.0935 0.6458 0.2500 (multiplicity 6)
Ag 0.0451 0.8124 0.7500 (multiplicity 6)
Sn 0.3333 0.6667 0.7500 (multiplicity 2)

Size of the total moment in Bohr magnetons per cell: 0.00

=====

## Q
Below is a relaxed Mg3Ag3Sn crystal, with properties calculated at the PBE level.

Cell lengths 9.207, 9.431, 6.644 Å; angles 90.00, 90.04, 90.00 degrees
Space group C2/m (No. 12)
Symmetry-distinct sites (fractional):
Mg 0.000 0.000 0.240 (multiplicity 4)
Mg 0.250 0.249 0.237 (multiplicity 8)
Ag 0.000 0.252 0.500 (multiplicity 4)
Ag 0.000 0.263 0.000 (multiplicity 4)
Ag 0.217 0.500 0.001 (multiplicity 4)
Sn 0.202 0.500 0.499 (multiplicity 4)

Size of the total moment in Bohr magnetons per cell: 0.00

=====

Which is the most stable structure? P is the most stable.